SnSbAs | Alexandria via LeMat-Bulk | PBE-GGA | optimized geometry; D(E_F) = 3.2 states/eV/cell; calculated volume = 158.2 Å³ per cell; polymorph energy (0 for the lowest one) = 155 meV/atom; formation energy without anion corrections = 0.14 eV/atom; space group = P2_1/m, No. 11
1.0
3.015 0.000 0.000
0.000 6.120 0.000
-0.097 0.000 8.573
Sn Sb As
2 2 2
Cartesian
-0.010 1.530 1.252
2.927 4.590 7.321
-0.049 0.000 4.286
-0.049 3.060 4.286
-0.071 1.530 6.929
2.988 4.590 1.643